[1]
Compound: HfZrPd2
Source: the Alexandria database
Functional: PBE
Structure: relaxed

Geometry as extended XYZ:
```
8
Lattice="-3.691 3.691 2.879 3.691 -3.691 2.879 3.691 3.691 -2.879" Properties=species:S:1:pos:R:3 pbc="T T T"
Hf 0.000 0.000 0.000
Hf 0.000 3.691 1.439
Zr 3.691 0.000 1.439
Zr 0.000 0.000 2.879
Pd 5.536 1.787 -0.720
Pd 1.787 1.845 0.720
Pd -1.845 1.904 2.159
Pd 1.904 1.845 3.598
```

Results
formation enthalpy at 0 K: -0.25 eV/atom
crystal system: tetragonal
offset from the most stable computed form: 356 meV per atom

[2]
Compound: CeLuAl
Source: the Alexandria database
Functional: PBE
Structure: relaxed

Geometry as extended XYZ:
```
3
Lattice="5.185 0.000 0.000 -2.592 4.490 0.000 0.000 0.000 3.026" Properties=species:S:1:pos:R:3 pbc="T T T"
Ce 0.000 0.000 0.000
Lu 0.000 2.993 0.011
Al 2.592 1.497 1.517
```

Results
formation enthalpy at 0 K: 0.01 eV/atom
crystal system: trigonal
offset from the most stable computed form: 193 meV per atom

[3]
Compound: Er7Sc2Cd2
Source: the Alexandria database
Functional: PBE
Structure: relaxed

Geometry as extended XYZ:
```
11
Lattice="4.180 -4.760 0.000 4.180 4.760 0.000 -2.796 0.000 7.768" Properties=species:S:1:pos:R:3 pbc="T T T"
Er 0.000 0.000 0.000
Er 0.230 1.713 6.382
Er 0.030 0.000 3.270
Er 0.230 -1.713 6.382
Er 5.334 1.713 1.386
Er 5.534 0.000 4.498
Er 5.334 -1.713 1.386
Sc 2.782 1.741 3.884
Sc 2.782 -1.741 3.884
Cd 2.701 0.000 1.428
Cd 2.863 0.000 6.340
```

Results
formation enthalpy at 0 K: -0.05 eV/atom
crystal system: monoclinic

[4]
Compound: Nd4Ho2Er
Source: the Alexandria database
Functional: PBE
Structure: relaxed

Geometry as extended XYZ:
```
14
Lattice="3.234 -12.147 0.000 3.234 12.147 0.000 -3.232 0.000 5.997" Properties=species:S:1:pos:R:3 pbc="T T T"
Nd 1.618 11.689 2.998
Nd 1.419 4.740 4.463
Nd 3.237 5.618 1.669
Nd 1.411 1.329 3.210
Nd 3.027 -1.329 0.212
Nd 3.035 -4.740 1.464
Nd 1.621 -5.618 4.667
Nd 3.234 -11.689 0.000
Ho 1.775 8.276 4.131
Ho 3.392 2.205 0.549
Ho 1.776 -2.205 3.548
Ho 3.391 -8.276 1.133
Er 3.006 9.110 0.840
Er 1.390 -9.110 3.838
```

Results
formation enthalpy at 0 K: 0.06 eV/atom
crystal system: monoclinic
offset from the most stable computed form: 0 meV per atom

[5]
Compound: NaZn2In2
Source: the Alexandria database
Functional: PBE
Structure: relaxed

Geometry as extended XYZ:
```
10
Lattice="5.996 0.000 0.000 1.143 6.035 0.000 0.398 2.656 6.370" Properties=species:S:1:pos:R:3 pbc="T T T"
Na 1.405 1.222 0.002
Na 6.132 7.470 6.369
Zn 3.014 6.957 4.943
Zn 3.419 2.619 3.678
Zn 4.118 6.073 2.692
Zn 4.523 1.734 1.427
In 0.526 2.831 3.116
In 2.787 4.084 1.267
In 4.750 4.608 5.103
In 7.011 5.860 3.254
```

Results
formation enthalpy at 0 K: -0.03 eV/atom
crystal system: triclinic
offset from the most stable computed form: 0 meV per atom

[6]
Compound: HPt3Pb
Source: the Alexandria database
Functional: PBE
Structure: relaxed

Geometry as extended XYZ:
```
5
Lattice="4.199 0.000 0.000 0.000 4.199 0.000 0.000 0.000 4.199" Properties=species:S:1:pos:R:3 pbc="T T T"
H 0.000 0.000 0.000
Pt 0.000 0.000 2.100
Pt 0.000 2.100 0.000
Pt 2.100 0.000 0.000
Pb 2.100 2.100 2.100
```

Results
crystal system: cubic
offset from the most stable computed form: 138 meV per atom